Material: KPr2CoO5
Method: DFT, PBE with a Hubbard U
State: optimized geometry

Total energy   -6.848 eV per atom
V   267 Å³ per cell
M_tot   0.225 μB per atom

Cell lengths 6.862, 6.862, 5.680 Å; angles 90.00, 90.00, 90.00 degrees
Element x y z (fractional)
K 0.000 0.000 0.000
K 0.500 0.500 0.000
Pr 0.178 0.322 0.500
Pr 0.322 0.822 0.500
Pr 0.678 0.178 0.500
Pr 0.822 0.678 0.500
Co 0.000 0.500 0.000
Co 0.500 0.000 0.000
O 0.000 0.000 0.500
O 0.130 0.630 0.237
O 0.130 0.630 0.763
O 0.370 0.130 0.237
O 0.370 0.130 0.763
O 0.500 0.500 0.500
O 0.630 0.870 0.237
O 0.630 0.870 0.763
O 0.870 0.370 0.237
O 0.870 0.370 0.763